(1)
A geometry-optimized SrCa3Re structure. Source: the Alexandria database, functional PBE-GGA.

Summary:
**Polymorph energy (0 for the lowest one)**: 0.000 eV per atom
**ΔH_f (0 K)**: 0.55 eV per atom
**Electronic total energy**: -3.477 eV/atom
**Crystal system**: cubic

abc: 5.722 5.722 5.722
angles: 90.00 90.00 90.00
Space group Pm-3m (No. 221)
Symmetry-distinct sites (fractional):
Sr 0.000 0.000 0.000
Ca 0.000 0.500 0.500
Re 0.500 0.500 0.500

***

(2)
A geometry-optimized Sr2CaVRe structure. Source: the Alexandria database, functional PBE-GGA.

Summary:
**ΔH_f (0 K)**: 1.86 eV per atom
**Electronic total energy**: -3.522 eV/atom
**Crystal system**: tetragonal

abc: 6.060 6.060 4.712
angles: 90.00 90.00 90.00
Space group P4/mmm (No. 123)
Symmetry-distinct sites (fractional):
Sr 0.000 0.500 0.000
Ca 0.000 0.000 0.000
V 0.500 0.500 0.500
Re 0.000 0.000 0.500

***

(3)
A geometry-optimized CaTaRe structure. Source: the Alexandria database, functional PBE-GGA.

Summary:
**Polymorph energy (0 for the lowest one)**: 0.272 eV per atom
**ΔH_f (0 K)**: 0.57 eV per atom
**Electronic total energy**: -8.194 eV/atom
**Crystal system**: trigonal

abc: 4.8009 4.8009 2.8385
angles: 90.00 90.00 120.00
Space group P3m1 (No. 156)
Symmetry-distinct sites (fractional):
Ca 0.0000 0.0000 0.0000
Ta 0.6667 0.3333 0.6079
Re 0.3333 0.6667 0.3534

***

(4)
A geometry-optimized CaTaRe2 structure. Source: the Alexandria database, functional PBE-GGA.

Summary:
**Polymorph energy (0 for the lowest one)**: 0.169 eV per atom
**ΔH_f (0 K)**: 0.50 eV per atom
**Electronic total energy**: -9.186 eV/atom
**Crystal system**: monoclinic

abc: 2.750 4.655 5.585
angles: 90.00 99.46 90.00
Space group Pm (No. 6)
Symmetry-distinct sites (fractional):
Ca 0.000 0.000 0.000
Ta 0.254 0.500 0.728
Re 0.507 0.000 0.491
Re 0.720 0.500 0.259

***

Quick rundown of total magnetization, same order as above: 1.3; 4.8; 0.0; 0.0 μB per formula unit